Record 1
DFT (GGA-PBE) results for a relaxed structure of PrYIn.

```
data_PrYIn
_chemical_formula_sum 'Pr2 Y2 In2'
_symmetry_space_group_name_H-M 'I 4 m m'
_symmetry_Int_Tables_number 107
_symmetry_space_group_name_Hall 'I 4 -2'
_cell_length_a 3.6272
_cell_length_b 3.6272
_cell_length_c 14.0082
_cell_angle_alpha 90.00
_cell_angle_beta 90.00
_cell_angle_gamma 90.00
loop_
_atom_site_label
_atom_site_fract_x
_atom_site_fract_y
_atom_site_fract_z
_atom_site_occupancy
Pr1 0.0000 0.0000 0.0000 1
Y1 0.0000 0.0000 0.6942 1
In1 0.0000 0.0000 0.3394 1
```

The calculation puts the calculated formation energy at -308 meV/atom. The value obtained for the total energy is -0.18260 Ha/atom. The offset from the most stable computed form is 57 meV/atom. The value obtained for the density of states at the Fermi level is 5.6 states/eV per cell.

---

Record 2
DFT (GGA-PBE) results for a relaxed structure of RbSc2Se2.

```
data_RbSc2Se2
_chemical_formula_sum 'Rb2 Sc4 Se4'
_symmetry_space_group_name_H-M 'P 4/m b m'
_symmetry_Int_Tables_number 127
_symmetry_space_group_name_Hall '-P 4 2ab'
_cell_length_a 8.2235
_cell_length_b 8.2235
_cell_length_c 3.5389
_cell_angle_alpha 90.00
_cell_angle_beta 90.00
_cell_angle_gamma 90.00
loop_
_atom_site_label
_atom_site_fract_x
_atom_site_fract_y
_atom_site_fract_z
_atom_site_occupancy
Rb1 0.0000 0.0000 0.0000 1
Sc1 0.1350 0.3650 0.5000 1
Se1 0.1415 0.6415 0.0000 1
```

The value obtained for the total energy is -0.17994 Ha/atom. The offset from the most stable computed form is 369 meV/atom. Its uncorrected formation energy is -776.6 meV per atom. The value obtained for the density of states at the Fermi level is 8.8 states/eV per cell.

---

- Which value of offset from the most stable computed form does entry 2 give?
  369 meV/atom